Record 1
First-principles (PBE) data for a relaxed structure of Ga2NiPd8, as listed in the Alexandria database.

a b c (Å): 7.134 7.134 6.244
angles (deg): 108.62 108.62 33.27
Sites, in units of the cell vectors:
Ga 0.215 0.215 0.159
Ga 0.785 0.785 0.841
Ni 0.500 0.500 0.500
Pd 0.040 0.040 0.237
Pd 0.153 0.153 0.713
Pd 0.326 0.326 0.573
Pd 0.398 0.398 0.041
Pd 0.602 0.602 0.959
Pd 0.674 0.674 0.427
Pd 0.847 0.847 0.287
Pd 0.960 0.960 0.763

## Properties
Crystal system: monoclinic
Symmetry: No. 12
ΔE_f in kJ/mol of formula units: -333

=====

Record 2
First-principles (PBE) data for a relaxed structure of RbSi3Cl, as listed in the Alexandria database.

a b c (Å): 6.259 6.259 6.259
angles (deg): 90.00 90.00 90.00
Sites, in units of the cell vectors:
Rb 0.000 0.000 0.000
Si 0.000 0.000 0.500
Si 0.000 0.500 0.000
Si 0.500 0.000 0.000
Cl 0.500 0.500 0.500

## Properties
Crystal system: cubic
Symmetry: No. 221
E_form (uncorrected) in eV per atom: 2.1226
Excess energy over the best structure of this formula in the dataset in eV per atom: 1.130

=====

Record 3
First-principles (PBE) data for a relaxed structure of La2SbP2, as listed in the Alexandria database.

a b c (Å): 3.989 3.989 16.489
angles (deg): 90.00 90.00 90.00
Sites, in units of the cell vectors:
La 0.000 0.000 0.114
La 0.000 0.000 0.886
La 0.500 0.500 0.386
La 0.500 0.500 0.614
Sb 0.000 0.000 0.500
Sb 0.500 0.500 0.000
P 0.000 0.500 0.250
P 0.000 0.500 0.750
P 0.500 0.000 0.250
P 0.500 0.000 0.750

## Properties
Crystal system: tetragonal
Symmetry: No. 139
E_form (uncorrected) in eV per atom: -0.9759
Excess energy over the best structure of this formula in the dataset in eV per atom: 0.099

=====

Record 4
First-principles (PBE) data for a relaxed structure of ScZn2Ni2, as listed in the Alexandria database.

a b c (Å): 7.372 4.386 4.753
angles (deg): 90.00 112.89 90.00
Sites, in units of the cell vectors:
Sc 0.000 0.000 0.000
Sc 0.500 0.500 0.000
Zn 0.241 0.000 0.647
Zn 0.259 0.500 0.353
Zn 0.741 0.500 0.647
Zn 0.759 0.000 0.353
Ni 0.109 0.500 0.778
Ni 0.391 0.000 0.222
Ni 0.609 0.000 0.778
Ni 0.891 0.500 0.222

## Properties
Crystal system: monoclinic
Symmetry: No. 12
ΔE_f in kJ/mol of formula units: -171
Excess energy over the best structure of this formula in the dataset in eV per atom: 0.000

=====

Record 5
First-principles (PBE) data for a relaxed structure of MgZnGa3, as listed in the Alexandria database.

a b c (Å): 5.209 5.484 6.616
angles (deg): 90.00 100.37 90.00
Sites, in units of the cell vectors:
Mg 0.152 0.250 0.184
Mg 0.848 0.750 0.816
Zn 0.083 0.750 0.262
Zn 0.917 0.250 0.738
Ga 0.298 0.501 0.614
Ga 0.298 0.999 0.614
Ga 0.404 0.750 0.012
Ga 0.596 0.250 0.988
Ga 0.702 0.001 0.386
Ga 0.702 0.499 0.386

## Properties
Crystal system: monoclinic
Symmetry: No. 11
ΔE_f in kJ/mol of formula units: -17
Excess energy over the best structure of this formula in the dataset in eV per atom: 0.000

=====

Number 1: volume 164.4 Å³/cell. Number 2: volume 245.2 Å³/cell. Number 3: volume 262.3 Å³/cell. Number 4: volume 141.6 Å³/cell. Number 5: volume 185.9 Å³/cell.